No. 1
CSe3I SCAN single point on PBEsol structure; uncorrected formation energy = 1.290 eV per atom; space group = Pm-3m
1.0
4.5120 0.0000 0.0000
0.0000 4.5120 0.0000
0.0000 0.0000 4.5120
C Se I
1 3 1
Cartesian
0.0000 0.0000 0.0000
0.0000 0.0000 2.2560
0.0000 2.2560 0.0000
2.2560 0.0000 0.0000
2.2560 2.2560 2.2560



No. 2
CSeI2 SCAN single point on PBEsol structure; uncorrected formation energy = 2.162 eV per atom; space group = Fm-3m
1.0
0.0000 3.5020 3.5020
3.5020 0.0000 3.5020
3.5020 3.5020 0.0000
C Se I
1 1 2
Cartesian
0.0000 0.0000 0.0000
3.5020 3.5020 3.5020
1.7510 1.7510 1.7510
5.2530 5.2530 5.2530



No. 3
Te2CSeI SCAN single point on PBEsol structure; uncorrected formation energy = 1.248 eV per atom; space group = P4/mmm
1.0
4.8120 0.0000 0.0000
0.0000 4.8120 0.0000
0.0000 0.0000 4.7853
Te C Se I
2 1 1 1
Cartesian
0.0000 2.4060 0.0000
2.4060 0.0000 0.0000
0.0000 0.0000 0.0000
2.4060 2.4060 2.3926
0.0000 0.0000 2.3926